# 1
Pu8AgBi6 | PBE-GGA | optimized geometry

Properties
**Raw total energy**: -0.6889 Ry per atom
**V**: 27.1 Å³/atom
**Space group**: R-3, No. 148

Unit cell a=9.310 b=9.310 c=7.632 alpha=52.41 beta=52.41 gamma=60.00
Last column: magnetic moment on the atom in μB.
Element x y z (fractional)
Bi 0.120 0.866 0.647  -0.01
Bi 0.880 0.134 0.353  -0.01
Bi 0.134 0.633 0.353  -0.01
Bi 0.866 0.367 0.647  -0.01
Bi 0.367 0.120 0.647  -0.01
Bi 0.633 0.880 0.353  -0.01
Pu 0.432 0.846 0.130  4.76
Pu 0.568 0.154 0.870  4.76
Pu 0.154 0.408 0.870  4.76
Pu 0.592 0.432 0.130  4.76
Pu 0.718 0.718 0.845  -3.81
Pu 0.408 0.568 0.870  4.76
Pu 0.846 0.592 0.130  4.76
Pu 0.282 0.282 0.155  -3.81
Ag 0.000 0.000 0.000  -0.01

# 2
PuAgBi | PBE-GGA | optimized geometry

Properties
**Raw total energy**: -0.5081 Ry per atom
**V**: 29.3 Å³/atom
**Space group**: Fddd, No. 70

Unit cell a=5.987 b=5.987 c=10.750 alpha=107.05 beta=107.05 gamma=86.97
Last column: magnetic moment on the atom in μB.
Element x y z (fractional)
Bi 0.744 0.744 0.000  -0.12
Bi 0.256 0.256 0.000  -0.12
Bi 0.506 0.006 0.500  -0.12
Bi 0.994 0.494 0.500  -0.12
Ag 0.125 0.875 0.250  0.03
Ag 0.125 0.875 0.750  0.03
Ag 0.625 0.875 0.750  0.03
Ag 0.125 0.375 0.250  0.03
Pu 0.873 0.373 0.747  5.69
Pu 0.623 0.623 0.247  5.69
Pu 0.377 0.377 0.753  5.69
Pu 0.627 0.127 0.253  5.69

# 3
Pu4Ag3Bi8 | PBE-GGA | optimized geometry

Properties
**Raw total energy**: -0.4929 Ry per atom
**V**: 28.0 Å³/atom
**Space group**: P-4m2, No. 115

Unit cell a=4.605 b=4.605 c=19.821 alpha=90.00 beta=90.00 gamma=90.00
Last column: magnetic moment on the atom in μB.
Element x y z (fractional)
Pu 0.500 0.000 0.375  -5.35
Pu 0.000 0.500 0.115  5.30
Pu 0.500 0.000 0.885  5.30
Pu 0.000 0.500 0.625  -5.35
Bi 0.500 0.500 0.755  0.00
Bi 0.500 0.500 0.245  0.00
Bi 0.000 0.000 0.244  0.00
Bi 0.000 0.500 0.912  -0.16
Bi 0.000 0.000 0.756  0.00
Bi 0.500 0.000 0.599  0.12
Bi 0.500 0.000 0.088  -0.16
Bi 0.000 0.500 0.401  0.12
Ag 0.000 0.000 0.500  0.01
Ag 0.000 0.000 0.000  -0.02
Ag 0.500 0.500 0.500  0.01

# 4
PuAgBi | PBE-GGA | optimized geometry

Properties
**Raw total energy**: -0.5261 Ry per atom
**V**: 25.9 Å³/atom
**Space group**: P-6m2, No. 187

Unit cell a=3.411 b=5.129 c=5.129 alpha=120.00 beta=90.00 gamma=90.00
Last column: magnetic moment on the atom in μB.
Element x y z (fractional)
Bi 0.167 0.667 0.333  0.03
Pu 0.667 0.333 0.667  5.71
Ag 0.166 0.000 0.000  0.05

# 5
PuAgBi | PBE-GGA | optimized geometry

Properties
**Raw total energy**: -0.5237 Ry per atom
**V**: 28.8 Å³/atom
**Space group**: F-43m, No. 216

Unit cell a=4.961 b=4.961 c=4.961 alpha=60.00 beta=60.00 gamma=60.00
Last column: magnetic moment on the atom in μB.
Element x y z (fractional)
Bi 0.000 0.000 0.000  -0.04
Ag 0.250 0.250 0.250  0.04
Pu 0.500 0.500 0.500  5.58

# 6
PuAgBi | PBE-GGA | optimized geometry

Properties
**Raw total energy**: -0.5174 Ry per atom
**V**: 26.1 Å³/atom
**Space group**: I4mm, No. 107

Unit cell a=3.404 b=3.404 c=7.167 alpha=103.74 beta=103.74 gamma=90.00
Last column: magnetic moment on the atom in μB.
Element x y z (fractional)
Bi 0.624 0.624 0.248  -0.06
Pu 0.940 0.940 0.880  5.49
Ag 0.286 0.286 0.572  0.00

# 7
Pu2Ag2Bi3 | PBE-GGA | optimized geometry

Properties
**Raw total energy**: -0.4928 Ry per atom
**V**: 26.5 Å³/atom
**Space group**: C2/m, No. 12

Unit cell a=5.134 b=6.534 c=6.116 alpha=86.51 beta=114.82 gamma=90.00
Last column: magnetic moment on the atom in μB.
Element x y z (fractional)
Pu 0.587 0.718 0.175  5.38
Pu 0.413 0.282 0.825  5.38
Bi 0.000 0.000 0.000  0.00
Bi 0.288 0.783 0.576  -0.09
Bi 0.712 0.217 0.424  -0.09
Ag 0.883 0.590 0.767  0.00
Ag 0.117 0.410 0.233  0.00

# 8
PuAg2Bi | PBE-GGA | optimized geometry

Properties
**Raw total energy**: -0.4409 Ry per atom
**V**: 24.4 Å³/atom
**Space group**: P4/mmm, No. 123

Unit cell a=4.754 b=4.535 c=4.535 alpha=90.00 beta=90.00 gamma=90.00
Last column: magnetic moment on the atom in μB.
Element x y z (fractional)
Ag 0.000 0.000 0.500  0.05
Ag 0.000 0.500 0.000  0.05
Pu 0.500 0.500 0.500  5.39
Bi 0.500 0.000 0.000  -0.03